Here is an optimized crystal structure of SbPSCl2 from Alexandria via LeMat-Bulk. Energies are from GGA-PBE.

Computed properties:
V: 29.08 A^3/atom
Uncorrected formation energy: 0.586 eV/atom
Uncorrected energy: -0.21198 Ry/atom
Magnetic moment: 0.8 μB/cell
Relative energy among the computed polymorphs: 0.348 eV per atom

Cell: 5.034 5.034 5.738 Å, 90.00 90.00 90.00°
Atoms (fractional coordinates):
Sb: 0.000 0.000 0.000
P: 0.000 0.000 0.500
S: 0.500 0.500 0.500
Cl: 0.000 0.500 0.000
Cl: 0.500 0.000 0.000